[1]
8
Lattice="4.3272 0.0000 0.0000 2.1636 3.7474 0.0000 2.1636 1.2491 9.3325" Properties=species:S:1:pos:R:3 comment="NdAl2SnPd4, optimized geometry, DFT PBE" space_group=R-3m dft_energy_ev_per_fu=-42.6 formation_energy_ev_per_atom=-0.70 pbc="T T T"
Pd 4.3272 2.4983 7.4467
Pd 4.3272 2.4983 1.8858
Pd 2.1636 1.2491 5.9290
Al 2.1636 1.2491 2.3828
Sn 4.3272 2.4983 4.6662
Pd 6.4908 3.7474 3.4034
Al 6.4908 3.7474 6.9497
Nd 0.0000 0.0000 0.0000

=====

[2]
15
Lattice="-4.8015 1.1761 -2.9575 4.0992 -3.2923 -2.3541 -5.0589 -9.4767 4.4445" Properties=species:S:1:pos:R:3 comment="Nd3Al2SnPd9, optimized geometry, DFT PBE" space_group=P-3m1 dft_energy_ev_per_fu=-81.8 formation_energy_ev_per_atom=-0.62 pbc="T T T"
Pd 2.0496 -1.6462 -1.1771
Pd -2.4008 0.5881 -1.4787
Pd -0.3512 -1.0581 -2.6558
Al 0.3134 -3.3369 -1.8358
Pd -6.7875 -6.0317 0.1768
Sn -2.5295 -4.7384 2.2223
Pd 1.0262 -5.5612 -1.0439
Pd -4.3622 -6.6258 1.6706
Nd -3.0838 -2.6534 -1.6589
Pd -4.7170 -7.6947 -1.0123
Al -6.0747 -8.2560 0.9687
Nd 0.0000 0.0000 0.0000
Pd -1.3991 -4.9671 -2.5377
Pd -1.0443 -3.8982 0.1452
Nd -2.6774 -8.9395 0.7918